(1)
First-principles (PBE) data for ReMo after structural relaxation, as listed in Alexandria.

Values from the calculation:
- excess energy over the best structure of this formula in the dataset (meV/atom) = 104
- DOS(E_F) (states/eV/atom) = 0.77
- E_form (kcal/mol of atoms) = 4.54

Cell lengths 4.843, 4.843, 4.843 Å; angles 131.71, 131.71, 70.68 degrees
Fractional positions:
Re 0.375 0.625 0.750
Re 0.625 0.375 0.250
Mo 0.125 0.875 0.250
Mo 0.875 0.125 0.750


(2)
First-principles (PBE) data for HfCu2Pt after structural relaxation, as listed in Alexandria.

Values from the calculation:
- DOS(E_F) (states/eV/atom) = 1.11
- E_form (kcal/mol of atoms) = -9.65

Cell lengths 4.385, 4.385, 4.385 Å; angles 60.00, 60.00, 60.00 degrees
Fractional positions:
Hf 0.000 0.000 0.000
Cu 0.250 0.250 0.250
Cu 0.750 0.750 0.750
Pt 0.500 0.500 0.500